1.
# AcNd2Hg5

A relaxed structure of AcNd2Hg5 (GGA-PBE, the Alexandria database).

POSCAR file:
```
AcNd2Hg5
1.0
-1.209 -3.471 4.015
0.302 -4.156 -3.502
7.899 3.033 1.311
Nd Ac Hg
2 1 5
direct
0.729 0.729 0.458
0.271 0.271 0.542
0.000 0.000 0.000
0.871 0.371 0.743
0.129 0.629 0.257
0.500 0.500 0.000
0.629 0.129 0.257
0.371 0.871 0.743
```

calculated total energy: -2.340 eV/atom
theoretical density: 11.13 g cm⁻³
space group: I4/mmm, No. 139

***

2.
# AcNd2Hg3

A relaxed structure of AcNd2Hg3 (GGA-PBE, the Alexandria database).

POSCAR file:
```
AcNd2Hg3
1.0
-0.851 -5.172 -1.682
7.160 -4.674 1.742
-2.910 -1.822 7.072
Hg Nd Ac
6 4 2
direct
0.163 0.675 0.735
0.837 0.325 0.265
0.500 0.000 0.265
0.500 0.000 0.735
0.837 0.325 0.735
0.163 0.675 0.265
0.669 0.662 0.500
0.331 0.338 0.500
0.000 0.000 0.500
0.000 0.000 0.000
0.335 0.330 0.000
0.665 0.670 0.000
```

calculated total energy: -2.888 eV/atom
theoretical density: 10.35 g cm⁻³
space group: Cmmm, No. 65